Below is an optimized crystal structure of LiTi2V2, with properties calculated at the PBE level.

Cell and atoms, written as POSCAR:
```
LiTi2V2
1.0
-2.649 5.160 3.544
1.738 -3.090 5.799
3.025 1.593 -0.058
V Li Ti
4 2 4
Cartesian
0.529 -0.773 6.385
-1.223 2.568 6.730
-1.440 2.843 2.958
0.312 -0.498 2.613
0.000 0.000 0.000
-0.455 1.035 4.671
2.233 -0.411 4.397
1.209 1.634 7.173
-0.118 4.073 4.887
0.905 2.028 2.111
```

ΔE_f in meV per atom: 323.1
D(E_F) in states/eV/atom: 0.975